A relaxed BaBeRu crystal. Source: Alexandria via LeMat-Bulk, functional GGA-PBE.

a = 3.961 Å, b = 3.961 Å, c = 4.908 Å
α = 90.00°, β = 90.00°, γ = 120.00°
Sites, in units of the cell vectors:
Ru 0.333 0.667 0.500
Ba 0.000 0.000 0.000
Be 0.667 0.333 0.500

Computed properties:
space group = P-6m2 (187)
DOS at the Fermi energy = 0.78 states/eV/f.u.
ΔE to the lowest computed polymorph = 68 meV/atom

---

A relaxed YTcSb2Se crystal. Source: Alexandria via LeMat-Bulk, functional GGA-PBE.

a = 5.745 Å, b = 5.017 Å, c = 5.745 Å
α = 90.00°, β = 90.00°, γ = 90.00°
Sites, in units of the cell vectors:
Y 0.000 0.000 0.000
Sb 0.000 0.000 0.500
Sb 0.500 0.000 0.000
Tc 0.000 0.500 0.000
Se 0.500 0.500 0.500

Computed properties:
space group = P4/mmm (123)
DOS at the Fermi energy = 3.83 states/eV/f.u.
formation energy (no corrections) = 1.22 eV per atom

---

A relaxed LiCd2AsO5 crystal. Source: Alexandria via LeMat-Bulk, functional GGA-PBE.

a = 3.042 Å, b = 6.581 Å, c = 11.271 Å
α = 90.00°, β = 90.00°, γ = 103.36°
Sites, in units of the cell vectors:
Li 0.568 0.135 0.927
Li 0.432 0.865 0.427
Cd 0.870 0.739 0.819
Cd 0.061 0.122 0.650
Cd 0.130 0.261 0.319
Cd 0.939 0.878 0.150
As 0.771 0.543 0.535
As 0.229 0.457 0.035
O 0.370 0.739 0.015
O 0.723 0.446 0.919
O 0.494 0.987 0.780
O 0.260 0.519 0.648
O 0.909 0.818 0.531
O 0.630 0.261 0.515
O 0.277 0.554 0.419
O 0.506 0.013 0.280
O 0.740 0.481 0.148
O 0.091 0.182 0.031

Computed properties:
space group = Cmc2_1 (36)
DOS at the Fermi energy = 0.02 states/eV/f.u.
formation energy (no corrections) = -1.21 eV per atom

---

A relaxed Ce2TlZn crystal. Source: Alexandria via LeMat-Bulk, functional GGA-PBE.

a = 5.279 Å, b = 5.279 Å, c = 8.922 Å
α = 90.00°, β = 90.00°, γ = 60.00°
Sites, in units of the cell vectors:
Ce 0.667 0.667 0.989
Ce 0.333 0.333 0.011
Ce 0.667 0.667 0.672
Ce 0.333 0.333 0.328
Tl 0.000 0.000 0.813
Tl 0.000 0.000 0.187
Zn 0.667 0.667 0.329
Zn 0.333 0.333 0.671

Computed properties:
space group = P-3m1 (164)
DOS at the Fermi energy = 10.30 states/eV/f.u.
total energy = -30.9 eV for the cell shown